DFT (PBE-GGA) results for an optimized crystal structure of SrCd.

a = 7.8771 Å, b = 7.8771 Å, c = 7.8771 Å
α = 145.97°, β = 65.07°, γ = 126.35°
Fractional coordinates of all 6 atoms:
Sr 0.0000 0.0000 0.0000
Sr 0.5118 0.2049 0.3069
Sr 0.8980 0.2049 0.6931
Cd 0.1393 0.7560 0.3833
Cd 0.3727 0.7560 0.6167
Cd 0.5051 0.5051 0.0000

Values from the calculation:
N(E_F): 1.808 states/eV/f.u.
Space group: Imm2 (44)
Total moment: 0.00 μB per formula unit
Formation energy: -43 kJ/mol of formula units



DFT (PBE-GGA) results for an optimized crystal structure of LiP2PtO.

a = 4.9304 Å, b = 4.9304 Å, c = 3.7832 Å
α = 90.00°, β = 90.00°, γ = 90.00°
Fractional coordinates of all 5 atoms:
Li 0.0000 0.0000 0.0000
P 0.0000 0.5000 0.5000
P 0.5000 0.0000 0.5000
Pt 0.5000 0.5000 0.5000
O 0.5000 0.5000 0.0000

Values from the calculation:
Formation energy without anion corrections: 0.303 eV per atom
N(E_F): 4.655 states/eV/f.u.
Space group: P4/mmm (123)
Total moment: 0.48 μB per formula unit
Polymorph energy (0 for the lowest one): 0.0 meV per atom



DFT (PBE-GGA) results for an optimized crystal structure of Ca3Ga3Ni2.

a = 7.7918 Å, b = 14.8335 Å, c = 5.8155 Å
α = 90.00°, β = 90.00°, γ = 90.00°
Fractional coordinates of all 32 atoms:
Ca 0.0397 0.1078 0.1206
Ca 0.0397 0.3922 0.1206
Ca 0.1883 0.2500 0.6233
Ca 0.3117 0.7500 0.1233
Ca 0.4603 0.6078 0.6206
Ca 0.4603 0.8922 0.6206
Ca 0.5397 0.1078 0.3794
Ca 0.5397 0.3922 0.3794
Ca 0.6883 0.2500 0.8767
Ca 0.8117 0.7500 0.3767
Ca 0.9603 0.6078 0.8794
Ca 0.9603 0.8922 0.8794
Ga 0.1576 0.7500 0.5931
Ga 0.1758 0.0398 0.6177
Ga 0.1758 0.4602 0.6177
Ga 0.3242 0.5398 0.1177
Ga 0.3242 0.9602 0.1177
Ga 0.3424 0.2500 0.0931
Ga 0.6576 0.7500 0.9069
Ga 0.6758 0.0398 0.8823
Ga 0.6758 0.4602 0.8823
Ga 0.8242 0.5398 0.3823
Ga 0.8242 0.9602 0.3823
Ga 0.8424 0.2500 0.4069
Ni 0.1160 0.5997 0.3913
Ni 0.1160 0.9003 0.3913
Ni 0.3840 0.0997 0.8913
Ni 0.3840 0.4003 0.8913
Ni 0.6160 0.5997 0.1087
Ni 0.6160 0.9003 0.1087
Ni 0.8840 0.0997 0.6087
Ni 0.8840 0.4003 0.6087

Values from the calculation:
N(E_F): 4.650 states/eV/f.u.
Space group: Pnma (62)
Total moment: 0.00 μB per formula unit
Formation energy: -340 kJ/mol of formula units



DFT (PBE-GGA) results for an optimized crystal structure of Tb6Dy3Er.

a = 11.5122 Å, b = 11.5122 Å, c = 6.3412 Å
α = 90.00°, β = 90.00°, γ = 130.69°
Fractional coordinates of all 20 atoms:
Tb 0.0152 0.9848 0.5000
Tb 0.1052 0.5431 0.0073
Tb 0.2577 0.3787 0.2482
Tb 0.3010 0.6990 0.4708
Tb 0.3787 0.2577 0.7482
Tb 0.4569 0.8948 0.0073
Tb 0.5431 0.1052 0.5073
Tb 0.6213 0.7423 0.2482
Tb 0.6990 0.3010 0.9708
Tb 0.7423 0.6213 0.7482
Tb 0.8948 0.4569 0.5073
Tb 0.9848 0.0152 0.0000
Dy 0.0414 0.2954 0.6691
Dy 0.2954 0.0414 0.1691
Dy 0.4200 0.5800 0.7716
Dy 0.5800 0.4200 0.2716
Dy 0.7046 0.9586 0.6691
Dy 0.9586 0.7046 0.1691
Er 0.1603 0.8397 0.6958
Er 0.8397 0.1603 0.1958

Values from the calculation:
N(E_F): 16.186 states/eV/f.u.
Space group: Cmc2_1 (36)
Total moment: 0.00 μB per formula unit
Polymorph energy (0 for the lowest one): 0.0 meV per atom
Formation energy: 119 kJ/mol of formula units



DFT (PBE-GGA) results for an optimized crystal structure of Ca2TlInRh.

a = 5.4052 Å, b = 5.4052 Å, c = 5.1929 Å
α = 90.00°, β = 90.00°, γ = 90.00°
Fractional coordinates of all 5 atoms:
Ca 0.0000 0.5000 0.0000
Ca 0.5000 0.0000 0.0000
Tl 0.0000 0.0000 0.5000
In 0.5000 0.5000 0.5000
Rh 0.5000 0.5000 0.0000

Values from the calculation:
N(E_F): 3.382 states/eV/f.u.
Space group: P4/mmm (123)
Total moment: 0.00 μB per formula unit
Formation energy: -148 kJ/mol of formula units



DFT (PBE-GGA) results for an optimized crystal structure of PaMnSe3.

a = 6.8436 Å, b = 6.8436 Å, c = 10.2912 Å
α = 106.13°, β = 106.13°, γ = 32.35°
Fractional coordinates of all 10 atoms:
Pa 0.0313 0.0313 0.3477
Pa 0.9687 0.9687 0.6523
Mn 0.2437 0.2437 0.1616
Mn 0.7563 0.7563 0.8384
Se 0.1402 0.1402 0.8899
Se 0.3759 0.3759 0.4223
Se 0.3858 0.3858 0.7975
Se 0.6142 0.6142 0.2025
Se 0.6241 0.6241 0.5777
Se 0.8598 0.8598 0.1101

Values from the calculation:
Formation energy without anion corrections: -0.913 eV per atom
N(E_F): 2.705 states/eV/f.u.
Space group: C2/m (12)
Total moment: 5.65 μB per formula unit
Polymorph energy (0 for the lowest one): 16.6 meV per atom